# CuS3Cl2 (GGA-PBE, optimized geometry)
data_CuS3Cl2
_cell_length_a 10.4985
_cell_length_b 10.4985
_cell_length_c 4.1269
_cell_angle_alpha 101.28
_cell_angle_beta 101.28
_cell_angle_gamma 117.23
_space_group_name_H-M_alt 'P 1'
_space_group_IT_number 1
loop_
_space_group_symop_operation_xyz
'x,y,z'
loop_
_atom_site_label
_atom_site_type_symbol
_atom_site_fract_x
_atom_site_fract_y
_atom_site_fract_z
Cu1 Cu 0.1299 0.8701 0.7500
Cu2 Cu 0.8701 0.1299 0.2500
S1 S 0.1169 0.5549 0.0863
S2 S 0.2068 0.7932 0.2500
S3 S 0.4451 0.8831 0.4137
S4 S 0.5549 0.1169 0.5863
S5 S 0.7932 0.2068 0.7500
S6 S 0.8831 0.4451 0.9137
Cl1 Cl 0.1039 0.3036 0.4535
Cl2 Cl 0.3036 0.1039 0.9535
Cl3 Cl 0.6964 0.8961 0.0465
Cl4 Cl 0.8961 0.6964 0.5465
# * E_form (uncorrected): -0.026 eV per atom
# * space group: C2/c, No. 15
# * VASP energy: -3.387 eV/atom
# * total magnetic moment: 0.00 μB/f.u.

# Cu4S2Cl (GGA-PBE, optimized geometry)
data_Cu4S2Cl
_cell_length_a 9.7558
_cell_length_b 9.7558
_cell_length_c 9.7558
_cell_angle_alpha 21.34
_cell_angle_beta 21.34
_cell_angle_gamma 21.34
_space_group_name_H-M_alt 'P 1'
_space_group_IT_number 1
loop_
_space_group_symop_operation_xyz
'x,y,z'
loop_
_atom_site_label
_atom_site_type_symbol
_atom_site_fract_x
_atom_site_fract_y
_atom_site_fract_z
Cu1 Cu 0.1382 0.1382 0.1382
Cu2 Cu 0.2744 0.2744 0.2744
Cu3 Cu 0.7256 0.7256 0.7256
Cu4 Cu 0.8618 0.8618 0.8618
S1 S 0.4353 0.4353 0.4353
S2 S 0.5647 0.5647 0.5647
Cl1 Cl 0.0000 0.0000 0.0000
# * E_form (uncorrected): -0.079 eV per atom
# * space group: R-3m, No. 166
# * VASP energy: -3.863 eV/atom
# * total magnetic moment: 0.00 μB/f.u.

# Cu2SCl (GGA-PBE, optimized geometry)
data_Cu2SCl
_cell_length_a 4.4247
_cell_length_b 4.4247
_cell_length_c 4.4247
_cell_angle_alpha 60.00
_cell_angle_beta 60.00
_cell_angle_gamma 60.00
_space_group_name_H-M_alt 'P 1'
_space_group_IT_number 1
loop_
_space_group_symop_operation_xyz
'x,y,z'
loop_
_atom_site_label
_atom_site_type_symbol
_atom_site_fract_x
_atom_site_fract_y
_atom_site_fract_z
Cu1 Cu 0.2500 0.2500 0.2500
Cu2 Cu 0.7500 0.7500 0.7500
S1 S 0.0000 0.0000 0.0000
Cl1 Cl 0.5000 0.5000 0.5000
# * E_form (uncorrected): 0.327 eV per atom
# * space group: Fm-3m, No. 225
# * VASP energy: -3.215 eV/atom
# * total magnetic moment: 0.00 μB/f.u.

# Cu3SCl2 (GGA-PBE, optimized geometry)
data_Cu3SCl2
_cell_length_a 6.7158
_cell_length_b 6.7158
_cell_length_c 6.7158
_cell_angle_alpha 148.71
_cell_angle_beta 60.44
_cell_angle_gamma 129.71
_space_group_name_H-M_alt 'P 1'
_space_group_IT_number 1
loop_
_space_group_symop_operation_xyz
'x,y,z'
loop_
_atom_site_label
_atom_site_type_symbol
_atom_site_fract_x
_atom_site_fract_y
_atom_site_fract_z
Cu1 Cu 0.0000 0.0000 0.0000
Cu2 Cu 0.3672 0.9916 0.3755
Cu3 Cu 0.6161 0.9916 0.6245
S1 S 0.7736 0.2736 0.5000
Cl1 Cl 0.0902 0.2587 0.8314
Cl2 Cl 0.4273 0.2587 0.1686
# * E_form (uncorrected): -0.357 eV per atom
# * space group: Imm2, No. 44
# * VASP energy: -3.709 eV/atom
# * total magnetic moment: 0.00 μB/f.u.

# CuS3Cl (GGA-PBE, optimized geometry)
data_CuS3Cl
_cell_length_a 4.5338
_cell_length_b 4.5338
_cell_length_c 4.5338
_cell_angle_alpha 90.00
_cell_angle_beta 90.00
_cell_angle_gamma 90.00
_space_group_name_H-M_alt 'P 1'
_space_group_IT_number 1
loop_
_space_group_symop_operation_xyz
'x,y,z'
loop_
_atom_site_label
_atom_site_type_symbol
_atom_site_fract_x
_atom_site_fract_y
_atom_site_fract_z
Cu1 Cu 0.0000 0.0000 0.0000
S1 S 0.0000 0.0000 0.5000
S2 S 0.0000 0.5000 0.0000
S3 S 0.5000 0.0000 0.0000
Cl1 Cl 0.5000 0.5000 0.5000
# * E_form (uncorrected): 0.825 eV per atom
# * space group: Pm-3m, No. 221
# * VASP energy: -2.840 eV/atom
# * total magnetic moment: 0.00 μB/f.u.

# Cu2S4Cl (GGA-PBE, optimized geometry)
data_Cu2S4Cl
_cell_length_a 3.7095
_cell_length_b 3.9565
_cell_length_c 11.2233
_cell_angle_alpha 81.76
_cell_angle_beta 80.64
_cell_angle_gamma 62.16
_space_group_name_H-M_alt 'P 1'
_space_group_IT_number 1
loop_
_space_group_symop_operation_xyz
'x,y,z'
loop_
_atom_site_label
_atom_site_type_symbol
_atom_site_fract_x
_atom_site_fract_y
_atom_site_fract_z
Cu1 Cu 0.0808 0.0408 0.2945
Cu2 Cu 0.9192 0.9592 0.7055
S1 S 0.3630 0.7018 0.0737
S2 S 0.4278 0.4024 0.2404
S3 S 0.5722 0.5976 0.7596
S4 S 0.6370 0.2982 0.9263
Cl1 Cl 0.0000 0.0000 0.5000
# * E_form (uncorrected): -0.093 eV per atom
# * space group: P-1, No. 2
# * VASP energy: -3.886 eV/atom
# * total magnetic moment: 0.00 μB/f.u.

# CuS3Cl (GGA-PBE, optimized geometry)
data_CuS3Cl
_cell_length_a 4.6231
_cell_length_b 4.6231
_cell_length_c 4.6231
_cell_angle_alpha 90.00
_cell_angle_beta 90.00
_cell_angle_gamma 90.00
_space_group_name_H-M_alt 'P 1'
_space_group_IT_number 1
loop_
_space_group_symop_operation_xyz
'x,y,z'
loop_
_atom_site_label
_atom_site_type_symbol
_atom_site_fract_x
_atom_site_fract_y
_atom_site_fract_z
Cu1 Cu 0.0000 0.0000 0.0000
S1 S 0.0000 0.5000 0.5000
S2 S 0.5000 0.0000 0.5000
S3 S 0.5000 0.5000 0.0000
Cl1 Cl 0.5000 0.5000 0.5000
# * E_form (uncorrected): 1.309 eV per atom
# * space group: Pm-3m, No. 221
# * VASP energy: -2.356 eV/atom
# * total magnetic moment: 0.00 μB/f.u.

# Cu3SCl (GGA-PBE, optimized geometry)
data_Cu3SCl
_cell_length_a 3.8764
_cell_length_b 8.3282
_cell_length_c 8.3282
_cell_angle_alpha 131.44
_cell_angle_beta 90.00
_cell_angle_gamma 90.00
_space_group_name_H-M_alt 'P 1'
_space_group_IT_number 1
loop_
_space_group_symop_operation_xyz
'x,y,z'
loop_
_atom_site_label
_atom_site_type_symbol
_atom_site_fract_x
_atom_site_fract_y
_atom_site_fract_z
Cu1 Cu 0.2500 0.0536 0.9464
Cu2 Cu 0.2500 0.1273 0.3435
Cu3 Cu 0.2500 0.7132 0.2176
Cu4 Cu 0.7500 0.2176 0.7132
Cu5 Cu 0.7500 0.3435 0.1273
Cu6 Cu 0.7500 0.9464 0.0536
S1 S 0.2500 0.7957 0.0241
S2 S 0.7500 0.0241 0.7957
Cl1 Cl 0.2500 0.5586 0.3461
Cl2 Cl 0.7500 0.3461 0.5586
# * E_form (uncorrected): -0.162 eV per atom
# * space group: Ama2, No. 40
# * VASP energy: -3.815 eV/atom
# * total magnetic moment: 0.00 μB/f.u.

# CuS3Cl (GGA-PBE, optimized geometry)
data_CuS3Cl
_cell_length_a 3.8181
_cell_length_b 7.6490
_cell_length_c 9.0836
_cell_angle_alpha 88.24
_cell_angle_beta 82.97
_cell_angle_gamma 75.56
_space_group_name_H-M_alt 'P 1'
_space_group_IT_number 1
loop_
_space_group_symop_operation_xyz
'x,y,z'
loop_
_atom_site_label
_atom_site_type_symbol
_atom_site_fract_x
_atom_site_fract_y
_atom_site_fract_z
Cu1 Cu 0.2244 0.0476 0.2498
Cu2 Cu 0.7756 0.9524 0.7502
S1 S 0.1599 0.7262 0.6064
S2 S 0.3865 0.2722 0.1044
S3 S 0.4613 0.5818 0.7510
S4 S 0.5387 0.4182 0.2490
S5 S 0.6135 0.7278 0.8956
S6 S 0.8401 0.2738 0.3936
Cl1 Cl 0.1840 0.1372 0.7495
Cl2 Cl 0.8160 0.8628 0.2505
# * E_form (uncorrected): -0.033 eV per atom
# * space group: P-1, No. 2
# * VASP energy: -3.698 eV/atom
# * total magnetic moment: 0.00 μB/f.u.

# CuSbS2Cl (GGA-PBE, optimized geometry)
data_CuSbS2Cl
_cell_length_a 5.0412
_cell_length_b 5.0412
_cell_length_c 5.1782
_cell_angle_alpha 90.00
_cell_angle_beta 90.00
_cell_angle_gamma 90.00
_space_group_name_H-M_alt 'P 1'
_space_group_IT_number 1
loop_
_space_group_symop_operation_xyz
'x,y,z'
loop_
_atom_site_label
_atom_site_type_symbol
_atom_site_fract_x
_atom_site_fract_y
_atom_site_fract_z
Cu1 Cu 0.0000 0.0000 0.0000
Sb1 Sb 0.5000 0.5000 0.5000
S1 S 0.0000 0.5000 0.5000
S2 S 0.5000 0.0000 0.5000
Cl1 Cl 0.5000 0.5000 0.0000
# * E_form (uncorrected): 0.448 eV per atom
# * space group: P4/mmm, No. 123
# * VASP energy: -3.216 eV/atom
# * total magnetic moment: 0.00 μB/f.u.

# CuSbS2Cl (GGA-PBE, optimized geometry)
data_CuSbS2Cl
_cell_length_a 4.6871
_cell_length_b 4.6871
_cell_length_c 4.4510
_cell_angle_alpha 90.00
_cell_angle_beta 90.00
_cell_angle_gamma 90.00
_space_group_name_H-M_alt 'P 1'
_space_group_IT_number 1
loop_
_space_group_symop_operation_xyz
'x,y,z'
loop_
_atom_site_label
_atom_site_type_symbol
_atom_site_fract_x
_atom_site_fract_y
_atom_site_fract_z
Cu1 Cu 0.0000 0.0000 0.0000
Sb1 Sb 0.5000 0.5000 0.5000
S1 S 0.0000 0.5000 0.0000
S2 S 0.5000 0.0000 0.0000
Cl1 Cl 0.0000 0.0000 0.5000
# * E_form (uncorrected): 0.143 eV per atom
# * space group: P4/mmm, No. 123
# * VASP energy: -3.521 eV/atom
# * total magnetic moment: 0.00 μB/f.u.

# ScCuSCl2 (GGA-PBE, optimized geometry)
data_ScCuSCl2
_cell_length_a 4.9035
_cell_length_b 4.9035
_cell_length_c 5.0389
_cell_angle_alpha 90.00
_cell_angle_beta 90.00
_cell_angle_gamma 90.00
_space_group_name_H-M_alt 'P 1'
_space_group_IT_number 1
loop_
_space_group_symop_operation_xyz
'x,y,z'
loop_
_atom_site_label
_atom_site_type_symbol
_atom_site_fract_x
_atom_site_fract_y
_atom_site_fract_z
Sc1 Sc 0.0000 0.0000 0.0000
Cu1 Cu 0.5000 0.5000 0.5000
S1 S 0.0000 0.0000 0.5000
Cl1 Cl 0.0000 0.5000 0.0000
Cl2 Cl 0.5000 0.0000 0.0000
# * E_form (uncorrected): -0.815 eV per atom
# * space group: P4/mmm, No. 123
# * VASP energy: -4.464 eV/atom
# * total magnetic moment: 0.14 μB/f.u.